CaPtRh2 | meta-GGA SCAN | PBEsol geometry Values from VASP.

Quantum ESPRESSO input file:
```
&SYSTEM
  ibrav = 0, nat = 4, ntyp = 3
/
ATOMIC_SPECIES
Pt 195.08 Pt.upf
Ca 40.08 Ca.upf
Rh 102.91 Rh.upf
CELL_PARAMETERS angstrom
4.017 0.000 0.000
0.000 4.017 0.000
-2.009 -2.009 3.925
ATOMIC_POSITIONS angstrom
Pt 0.000 0.000 0.000
Ca 2.009 2.009 0.000
Rh 0.000 2.009 1.962
Rh 2.009 0.000 1.962
```

## Properties
- Crystal system: tetragonal
- Total magnetization: 0.0 μB per formula unit
- Excess energy over the best structure of this formula in the dataset: 40 meV per atom